## Tm4Pd2N (GGA-PBE)

Data for a geometry-optimized Tm4Pd2N structure.

Computed properties:
formation energy without anion corrections = -0.94 eV per atom
E = -6.17 eV per atom
magnetization = 0.000 μB per atom
ρ = 9.96 g cm⁻³

Lattice parameters (Å, degrees): 4.583 4.583 7.860 73.05 73.05 90.00
Sites, in units of the cell vectors:
1 Tm 0.825 0.825 0.351
2 Tm 0.175 0.175 0.649
3 Pd 0.633 0.633 0.734
4 N 0.000 0.000 0.000
5 Tm 0.500 0.000 0.000
6 Tm 0.000 0.500 0.000
7 Pd 0.367 0.367 0.266